{"formula": "NbFeNi2O6", "functional": "GGA+U", "state": "relaxed", "space_group": "R3", "volume_a3_per_cell": 108.2, "dos_at_fermi_per_ev_atom": 0.000, "e_tot_ev_per_atom": -6.7442, "cell": [[5.158, -0.005, -0.007], [2.584, 4.464, -0.005], [2.586, 1.489, 4.691]], "species": ["Nb", "Fe", "Ni", "Ni", "O", "O", "O", "O", "O", "O"], "fractional_positions": [[0.313, 0.313, 0.060], [0.812, 0.812, 0.563], [0.517, 0.517, 0.450], [0.022, 0.022, 0.935], [0.599, 0.217, 0.250], [0.217, 0.934, 0.250], [0.934, 0.599, 0.250], [0.431, 0.712, 0.752], [0.712, 0.106, 0.752], [0.106, 0.431, 0.752]]}